# 1
VASP calculation (PBEsol) on BeTl2In after structural relaxation.

Values from the calculation:
space-group type: Immm (71)
ΔH_f (0 K): 323 meV per atom
ΔE to the lowest computed polymorph: 0.085 eV per formula unit

a b c (Å): 7.4732 7.4732 7.4732
angles (deg): 155.45 147.17 41.42
Last column: nearest neighbours and their distance in Å.
Atoms (fractional coordinates):
Be (0.0000, 0.0000, 0.0000)  4 In 2.64, 4 Tl 2.92
Tl (0.1753, 0.6753, 0.5000)  2 Be 2.92, 2 Tl 3.18, 2 In 3.23
Tl (0.8247, 0.3247, 0.5000)  2 Be 2.92, 2 Tl 3.18, 2 In 3.23
In (0.5000, 0.5000, 0.0000)  4 Be 2.64


# 2
VASP calculation (PBEsol) on BeTl2In after structural relaxation.

Values from the calculation:
space-group type: Cm (8)
ΔH_f (0 K): 302 meV per atom
ΔE to the lowest computed polymorph: 0.000 eV per formula unit

a b c (Å): 4.6077 4.6077 7.1842
angles (deg): 107.28 107.28 41.82
Last column: nearest neighbours and their distance in Å.
Atoms (fractional coordinates):
Be (0.0000, 0.0000, 0.0000)  3 In 2.42-2.50
Tl (0.4713, 0.4713, 0.6600)  2 Be 2.89, 1 Tl 3.19
Tl (0.6519, 0.6519, 0.3348)  2 Be 2.86, 1 Tl 3.19
In (0.2806, 0.2806, 0.9969)  3 Be 2.42-2.50


# 3
VASP calculation (PBEsol) on BeIn2W after structural relaxation.

Values from the calculation:
space-group type: Cmmm (65)
ΔH_f (0 K): 625 meV per atom

a b c (Å): 5.0150 5.0150 2.9225
angles (deg): 90.00 90.00 112.25
Last column: nearest neighbours and their distance in Å.
Atoms (fractional coordinates):
Be (0.0000, 0.0000, 0.0000)  2 W 2.80, 8 In 2.90, 2 Be 2.92
In (0.0000, 0.5000, 0.5000)  4 In 2.80-2.92, 4 W 2.90, 4 Be 2.90
In (0.5000, 0.0000, 0.5000)  4 In 2.80-2.92, 4 W 2.90, 4 Be 2.90
W (0.5000, 0.5000, 0.0000)  2 Be 2.80, 8 In 2.90, 2 W 2.92


# 4
VASP calculation (PBEsol) on BeIn2W after structural relaxation.

Values from the calculation:
space-group type: C2/m (12)
ΔH_f (0 K): 668 meV per atom

a b c (Å): 5.1021 5.1021 5.0158
angles (deg): 95.25 95.25 32.17
Last column: nearest neighbours and their distance in Å.
Atoms (fractional coordinates):
Be (0.0000, 0.0000, 0.0000)  6 In 2.77-3.08, 2 Be 2.83, 4 W 2.88
In (0.2399, 0.2399, 0.7497)  3 Be 2.77-3.08, 6 In 2.83-2.90, 3 W 2.92-2.95
In (0.7601, 0.7601, 0.2503)  3 Be 2.77-3.08, 6 In 2.83-2.90, 3 W 2.92-2.95
W (0.5000, 0.5000, 0.5000)  2 W 2.83, 4 Be 2.88, 6 In 2.92-2.95